VASP calculation (PBE with a Hubbard U) on crystalline LiMoO2 at its relaxed geometry.

Lattice parameters (Å, degrees): 4.6592 4.6592 5.7571 66.13 66.13 90.00
Last column: nearest neighbours and their distance in Å.
Positions (direct):
1 Mo 0.0000 0.0000 0.0000  4 O 2.06
2 Mo 0.7500 0.2500 0.5000  4 O 2.06
3 O 0.6133 0.1250 0.2500  2 Li 2.00, 2 Mo 2.06
4 O 0.1367 0.6250 0.2500  2 Li 2.00, 2 Mo 2.06
5 O 0.3750 0.3867 0.7500  2 Li 2.00, 2 Mo 2.06
6 O 0.8750 0.8633 0.7500  2 Li 2.00, 2 Mo 2.06
7 Li 0.5000 0.5000 0.0000  4 O 2.00
8 Li 0.2500 0.7500 0.5000  4 O 2.00

Calculated values
Symmetry: I-42d, No. 122
Calculated total energy (eV per atom): -6.124